Compound: SmZrF7
Source: Alexandria via LeMat-Bulk
Functional: PBEsol
Structure: relaxed

Output
- calculated density (Mg/m³) = 4.4
- space-group type = P2_1/c, No. 14
- formation energy from raw total energies (eV per atom) = -3.94
- DOS at the Fermi energy (states/eV/f.u.) = 0.00
- DFT total energy (eV/cell) = -252.49

a = 9.1174 Å, b = 5.7265 Å, c = 12.2485 Å
α = 90.00°, β = 117.97°, γ = 90.00°
Fractional positions:
Sm: 0.1863 0.2428 0.2663
Sm: 0.1863 0.2572 0.7663
Sm: 0.8137 0.7428 0.2337
Sm: 0.8137 0.7572 0.7337
Zr: 0.2735 0.7454 0.0442
Zr: 0.2735 0.7546 0.5442
Zr: 0.7265 0.2454 0.4558
Zr: 0.7265 0.2546 0.9558
F: 0.0255 0.7388 0.9425
F: 0.0255 0.7612 0.4425
F: 0.0310 0.5811 0.7330
F: 0.0310 0.9189 0.2330
F: 0.2550 0.5397 0.1713
F: 0.2550 0.9603 0.6713
F: 0.2679 0.0179 0.1455
F: 0.2679 0.4821 0.6455
F: 0.2824 0.0438 0.4529
F: 0.2824 0.4562 0.9529
F: 0.2870 0.5377 0.4205
F: 0.2870 0.9623 0.9205
F: 0.4778 0.2338 0.3598
F: 0.4778 0.2662 0.8598
F: 0.5222 0.7338 0.1402
F: 0.5222 0.7662 0.6402
F: 0.7130 0.0377 0.0795
F: 0.7130 0.4623 0.5795
F: 0.7176 0.5438 0.0471
F: 0.7176 0.9562 0.5471
F: 0.7321 0.5179 0.3545
F: 0.7321 0.9821 0.8545
F: 0.7450 0.0397 0.3287
F: 0.7450 0.4603 0.8287
F: 0.9690 0.0811 0.7670
F: 0.9690 0.4189 0.2670
F: 0.9745 0.2388 0.5575
F: 0.9745 0.2612 0.0575